i) # GGA-PBE Tm2PaSn, relaxed
data_Tm2PaSn
_cell_length_a 3.7436
_cell_length_b 3.7436
_cell_length_c 7.5070
_cell_angle_alpha 90.00
_cell_angle_beta 90.00
_cell_angle_gamma 90.00
_symmetry_space_group_name_H-M 'P 4/m m m'
_symmetry_Int_Tables_number 123
_symmetry_space_group_name_Hall '-P 4 2'
loop_
_atom_site_label
_atom_site_fract_x
_atom_site_fract_y
_atom_site_fract_z
Tm1 0.0000 0.0000 0.2326
Pa1 0.5000 0.5000 0.5000
Sn1 0.5000 0.5000 0.0000
# DOS(E_F)   3.7 states/eV/f.u.


ii) # GGA-PBE Tm2PaSn, relaxed
data_Tm2PaSn
_cell_length_a 4.7862
_cell_length_b 4.7862
_cell_length_c 4.5440
_cell_angle_alpha 90.00
_cell_angle_beta 90.00
_cell_angle_gamma 90.00
_symmetry_space_group_name_H-M 'P 4/m m m'
_symmetry_Int_Tables_number 123
_symmetry_space_group_name_Hall '-P 4 2'
loop_
_atom_site_label
_atom_site_fract_x
_atom_site_fract_y
_atom_site_fract_z
Tm1 0.0000 0.5000 0.0000
Pa1 0.0000 0.0000 0.5000
Sn1 0.5000 0.5000 0.5000
# DOS(E_F)   5.3 states/eV/f.u.


Least stable structure: i)


i) # GGA-PBE TmPaSn, relaxed
data_TmPaSn
_cell_length_a 3.1247
_cell_length_b 3.1247
_cell_length_c 17.1487
_cell_angle_alpha 90.00
_cell_angle_beta 90.00
_cell_angle_gamma 90.00
_symmetry_space_group_name_H-M 'I 4 m m'
_symmetry_Int_Tables_number 107
_symmetry_space_group_name_Hall 'I 4 -2'
loop_
_atom_site_label
_atom_site_fract_x
_atom_site_fract_y
_atom_site_fract_z
Tm1 0.0000 0.0000 0.0000
Pa1 0.0000 0.0000 0.1765
Sn1 0.0000 0.0000 0.3598
# DOS(E_F)   5.9 states/eV/f.u.


ii) # GGA-PBE TmPaSn, relaxed
data_TmPaSn
_cell_length_a 5.2994
_cell_length_b 5.2994
_cell_length_c 3.1302
_cell_angle_alpha 90.00
_cell_angle_beta 90.00
_cell_angle_gamma 120.00
_symmetry_space_group_name_H-M 'P -6 m 2'
_symmetry_Int_Tables_number 187
_symmetry_space_group_name_Hall 'P -6 2'
loop_
_atom_site_label
_atom_site_fract_x
_atom_site_fract_y
_atom_site_fract_z
Tm1 0.0000 0.0000 0.0000
Pa1 0.3333 0.6667 0.0000
Sn1 0.6667 0.3333 0.5000
# DOS(E_F)   5.9 states/eV/f.u.


iii) # GGA-PBE TmPaSn, relaxed
data_TmPaSn
_cell_length_a 3.2537
_cell_length_b 17.5819
_cell_length_c 5.7350
_cell_angle_alpha 90.00
_cell_angle_beta 90.00
_cell_angle_gamma 90.00
_symmetry_space_group_name_H-M 'C m c m'
_symmetry_Int_Tables_number 63
_symmetry_space_group_name_Hall '-C 2c 2'
loop_
_atom_site_label
_atom_site_fract_x
_atom_site_fract_y
_atom_site_fract_z
Tm1 0.0000 0.1618 0.2500
Pa1 0.0000 0.5000 0.0000
Sn1 0.0000 0.3382 0.2500
# DOS(E_F)   4.4 states/eV/f.u.


Least stable structure: i)


i) # GGA-PBE UPaSn, relaxed
data_UPaSn
_cell_length_a 5.2195
_cell_length_b 6.1787
_cell_length_c 8.5495
_cell_angle_alpha 90.00
_cell_angle_beta 90.00
_cell_angle_gamma 90.00
_symmetry_space_group_name_H-M 'I m m m'
_symmetry_Int_Tables_number 71
_symmetry_space_group_name_Hall '-I 2 2'
loop_
_atom_site_label
_atom_site_fract_x
_atom_site_fract_y
_atom_site_fract_z
U1 0.0000 0.0000 0.1467
Pa1 0.0000 0.5000 0.1672
Sn1 0.0000 0.2449 0.5000
# DOS(E_F)   6.4 states/eV/f.u.


ii) # GGA-PBE UPaSn, relaxed
data_UPaSn
_cell_length_a 5.0746
_cell_length_b 5.0746
_cell_length_c 3.1031
_cell_angle_alpha 90.00
_cell_angle_beta 90.00
_cell_angle_gamma 120.00
_symmetry_space_group_name_H-M 'P -6 m 2'
_symmetry_Int_Tables_number 187
_symmetry_space_group_name_Hall 'P -6 2'
loop_
_atom_site_label
_atom_site_fract_x
_atom_site_fract_y
_atom_site_fract_z
U1 0.0000 0.0000 0.0000
Pa1 0.3333 0.6667 0.0000
Sn1 0.6667 0.3333 0.5000
# DOS(E_F)   6.5 states/eV/f.u.


Least stable structure: ii)


i) # GGA-PBE UPaSn2, relaxed
data_UPaSn2
_cell_length_a 3.3278
_cell_length_b 3.3278
_cell_length_c 9.1860
_cell_angle_alpha 90.00
_cell_angle_beta 90.00
_cell_angle_gamma 90.00
_symmetry_space_group_name_H-M 'P 4/m m m'
_symmetry_Int_Tables_number 123
_symmetry_space_group_name_Hall '-P 4 2'
loop_
_atom_site_label
_atom_site_fract_x
_atom_site_fract_y
_atom_site_fract_z
U1 0.0000 0.0000 0.0000
Pa1 0.0000 0.0000 0.5000
Sn1 0.5000 0.5000 0.2501
# DOS(E_F)   9.9 states/eV/f.u.


ii) # GGA-PBE UPaSn2, relaxed
data_UPaSn2
_cell_length_a 4.6044
_cell_length_b 4.6044
_cell_length_c 4.6960
_cell_angle_alpha 90.00
_cell_angle_beta 90.00
_cell_angle_gamma 90.00
_symmetry_space_group_name_H-M 'P 4/m m m'
_symmetry_Int_Tables_number 123
_symmetry_space_group_name_Hall '-P 4 2'
loop_
_atom_site_label
_atom_site_fract_x
_atom_site_fract_y
_atom_site_fract_z
U1 0.0000 0.0000 0.0000
Pa1 0.5000 0.5000 0.0000
Sn1 0.0000 0.5000 0.5000
# DOS(E_F)   9.4 states/eV/f.u.


Least stable structure: ii)